## w
Below is CaPIN2 after structural relaxation, with properties calculated at the PBE level.

a = 3.9542 Å, b = 3.9542 Å, c = 5.5515 Å
α = 90.00°, β = 90.00°, γ = 90.00°
With the nearest neighbours (Å) after each atom.
Positions (direct):
I1 0.0000 0.0000 0.5000  2 P 2.78, 4 Ca 2.80
P1 0.0000 0.0000 0.0000  4 N 1.98
Ca1 0.5000 0.5000 0.5000  4 I 2.80
N1 0.0000 0.5000 0.0000  2 P 1.98
N2 0.5000 0.0000 0.0000  2 P 1.98

Calculated values
- volume (Å³/cell) = 87

=====

## x
Below is CaPIN2 after structural relaxation, with properties calculated at the PBE level.

a = 4.6061 Å, b = 4.6061 Å, c = 6.5287 Å
α = 90.00°, β = 90.00°, γ = 90.00°
With the nearest neighbours (Å) after each atom.
Positions (direct):
I1 0.0000 0.0000 0.5000  4 P 3.26, 2 Ca 3.26
P1 0.5000 0.5000 0.5000  4 I 3.26
Ca1 0.0000 0.0000 0.0000  4 N 2.30
N1 0.0000 0.5000 0.0000  2 Ca 2.30
N2 0.5000 0.0000 0.0000  2 Ca 2.30

Calculated values
- volume (Å³/cell) = 139

=====

Which structure loses on stability? x does.

=====

## w
Below is CaPI2N after structural relaxation, with properties calculated at the PBE level.

a = 6.0159 Å, b = 6.0159 Å, c = 4.2210 Å
α = 90.00°, β = 90.00°, γ = 90.00°
With the nearest neighbours (Å) after each atom.
Positions (direct):
I1 0.0000 0.5000 0.0000  2 Ca 3.01
I2 0.5000 0.0000 0.0000  2 Ca 3.01
P1 0.5000 0.5000 0.5000  8 I 3.67
Ca1 0.0000 0.0000 0.0000  2 N 2.11
N1 0.0000 0.0000 0.5000  2 Ca 2.11

Calculated values
- volume (Å³/cell) = 153

=====

## x
Below is CaPI2N after structural relaxation, with properties calculated at the PBE level.

a = 5.9682 Å, b = 5.9682 Å, c = 3.5570 Å
α = 90.00°, β = 90.00°, γ = 90.00°
With the nearest neighbours (Å) after each atom.
Positions (direct):
I1 0.0000 0.5000 0.0000  2 P 2.98
I2 0.5000 0.0000 0.0000  2 P 2.98
P1 0.0000 0.0000 0.0000  2 N 1.78
Ca1 0.5000 0.5000 0.5000  8 I 3.47, 2 Ca 3.56
N1 0.0000 0.0000 0.5000  2 P 1.78

Calculated values
- volume (Å³/cell) = 127

=====

Which structure loses on stability? w does.

=====

## w
Below is CaPbI2N after structural relaxation, with properties calculated at the PBE level.

a = 6.3965 Å, b = 6.3965 Å, c = 4.1714 Å
α = 90.00°, β = 90.00°, γ = 90.00°
With the nearest neighbours (Å) after each atom.
Positions (direct):
Pb1 0.0000 0.0000 0.0000  2 N 2.09
I1 0.0000 0.5000 0.0000  2 Pb 3.20
I2 0.5000 0.0000 0.0000  2 Pb 3.20
Ca1 0.5000 0.5000 0.5000  8 I 3.82, 2 Ca 4.17
N1 0.0000 0.0000 0.5000  2 Pb 2.09

Calculated values
- volume (Å³/cell) = 171

=====

## x
Below is CaPbI2N after structural relaxation, with properties calculated at the PBE level.

a = 6.0099 Å, b = 6.0099 Å, c = 4.7459 Å
α = 90.00°, β = 90.00°, γ = 90.00°
With the nearest neighbours (Å) after each atom.
Positions (direct):
Pb1 0.5000 0.5000 0.5000  8 I 3.83, 4 N 4.25
I1 0.0000 0.5000 0.0000  2 Ca 3.00
I2 0.5000 0.0000 0.0000  2 Ca 3.00
Ca1 0.0000 0.0000 0.0000  2 N 2.37
N1 0.0000 0.0000 0.5000  2 Ca 2.37

Calculated values
- volume (Å³/cell) = 171

=====

Which structure loses on stability? w does.

=====

## w
Below is CaPdI2N after structural relaxation, with properties calculated at the PBE level.

a = 5.8926 Å, b = 5.8926 Å, c = 3.8258 Å
α = 90.00°, β = 90.00°, γ = 90.00°
With the nearest neighbours (Å) after each atom.
Positions (direct):
I1 0.0000 0.5000 0.0000  2 Pd 2.95
I2 0.5000 0.0000 0.0000  2 Pd 2.95
Ca1 0.5000 0.5000 0.5000  8 I 3.51, 2 Ca 3.83
Pd1 0.0000 0.0000 0.0000  2 N 1.91
N1 0.0000 0.0000 0.5000  2 Pd 1.91

Calculated values
- volume (Å³/cell) = 133

=====

## x
Below is CaPdI2N after structural relaxation, with properties calculated at the PBE level.

a = 6.0677 Å, b = 6.0677 Å, c = 4.6071 Å
α = 90.00°, β = 90.00°, γ = 90.00°
With the nearest neighbours (Å) after each atom.
Positions (direct):
I1 0.0000 0.5000 0.0000  2 Ca 3.03
I2 0.5000 0.0000 0.0000  2 Ca 3.03
Ca1 0.0000 0.0000 0.0000  2 N 2.30
Pd1 0.5000 0.5000 0.5000  8 I 3.81
N1 0.0000 0.0000 0.5000  2 Ca 2.30

Calculated values
- volume (Å³/cell) = 170

=====

Which structure loses on stability? x does.

=====

## w
Below is RbCaIN2 after structural relaxation, with properties calculated at the PBE level.

a = 5.1021 Å, b = 5.1021 Å, c = 6.5406 Å
α = 90.00°, β = 90.00°, γ = 90.00°
With the nearest neighbours (Å) after each atom.
Positions (direct):
I1 0.0000 0.0000 0.5000  2 Rb 3.27, 4 Ca 3.61
Ca1 0.5000 0.5000 0.5000  4 I 3.61
Rb1 0.0000 0.0000 0.0000  4 N 2.55
N1 0.0000 0.5000 0.0000  2 Rb 2.55
N2 0.5000 0.0000 0.0000  2 Rb 2.55

Calculated values
- volume (Å³/cell) = 170

=====

## x
Below is RbCaIN2 after structural relaxation, with properties calculated at the PBE level.

a = 5.0118 Å, b = 5.0118 Å, c = 6.3943 Å
α = 90.00°, β = 90.00°, γ = 90.00°
With the nearest neighbours (Å) after each atom.
Positions (direct):
I1 0.0000 0.0000 0.5000  2 Ca 3.20, 4 Rb 3.54
Ca1 0.0000 0.0000 0.0000  4 N 2.51
Rb1 0.5000 0.5000 0.5000  4 I 3.54
N1 0.0000 0.5000 0.0000  2 Ca 2.51
N2 0.5000 0.0000 0.0000  2 Ca 2.51

Calculated values
- volume (Å³/cell) = 161

=====

Which structure loses on stability? w does.

=====

## w
Below is RbCaI2N after structural relaxation, with properties calculated at the PBE level.

a = 6.6719 Å, b = 6.6719 Å, c = 5.2039 Å
α = 90.00°, β = 90.00°, γ = 90.00°
With the nearest neighbours (Å) after each atom.
Positions (direct):
I1 0.0000 0.5000 0.0000  2 Rb 3.34
I2 0.5000 0.0000 0.0000  2 Rb 3.34
Ca1 0.5000 0.5000 0.5000  8 I 4.23, 4 N 4.72
Rb1 0.0000 0.0000 0.0000  2 N 2.60
N1 0.0000 0.0000 0.5000  2 Rb 2.60

Calculated values
- volume (Å³/cell) = 232

=====

## x
Below is RbCaI2N after structural relaxation, with properties calculated at the PBE level.

a = 6.3511 Å, b = 6.3511 Å, c = 4.8356 Å
α = 90.00°, β = 90.00°, γ = 90.00°
With the nearest neighbours (Å) after each atom.
Positions (direct):
I1 0.0000 0.5000 0.0000  2 Ca 3.18
I2 0.5000 0.0000 0.0000  2 Ca 3.18
Ca1 0.0000 0.0000 0.0000  2 N 2.42
Rb1 0.5000 0.5000 0.5000  8 I 3.99
N1 0.0000 0.0000 0.5000  2 Ca 2.42

Calculated values
- volume (Å³/cell) = 195

=====

Which structure loses on stability? w does.

=====

## w
Below is CaRhI2N after structural relaxation, with properties calculated at the PBE level.

a = 5.7355 Å, b = 5.7355 Å, c = 3.7847 Å
α = 90.00°, β = 90.00°, γ = 90.00°
With the nearest neighbours (Å) after each atom.
Positions (direct):
I1 0.0000 0.5000 0.0000  2 Rh 2.87
I2 0.5000 0.0000 0.0000  2 Rh 2.87
Ca1 0.5000 0.5000 0.5000  8 I 3.44, 2 Ca 3.78
Rh1 0.0000 0.0000 0.0000  2 N 1.89
N1 0.0000 0.0000 0.5000  2 Rh 1.89

Calculated values
- volume (Å³/cell) = 125

=====

## x
Below is CaRhI2N after structural relaxation, with properties calculated at the PBE level.

a = 6.0644 Å, b = 6.0644 Å, c = 4.5891 Å
α = 90.00°, β = 90.00°, γ = 90.00°
With the nearest neighbours (Å) after each atom.
Positions (direct):
I1 0.0000 0.5000 0.0000  2 Ca 3.03
I2 0.5000 0.0000 0.0000  2 Ca 3.03
Ca1 0.0000 0.0000 0.0000  2 N 2.29
Rh1 0.5000 0.5000 0.5000  8 I 3.80
N1 0.0000 0.0000 0.5000  2 Ca 2.29

Calculated values
- volume (Å³/cell) = 169

=====

Which structure loses on stability? x does.

=====

## w
Below is CaRuI2N after structural relaxation, with properties calculated at the PBE level.

a = 5.6768 Å, b = 5.6768 Å, c = 3.7812 Å
α = 90.00°, β = 90.00°, γ = 90.00°
With the nearest neighbours (Å) after each atom.
Positions (direct):
I1 0.0000 0.5000 0.0000  2 Ru 2.84
I2 0.5000 0.0000 0.0000  2 Ru 2.84
Ru1 0.0000 0.0000 0.0000  2 N 1.89
Ca1 0.5000 0.5000 0.5000  8 I 3.41, 2 Ca 3.78
N1 0.0000 0.0000 0.5000  2 Ru 1.89

Calculated values
- volume (Å³/cell) = 122

=====

## x
Below is CaRuI2N after structural relaxation, with properties calculated at the PBE level.

a = 6.0713 Å, b = 6.0713 Å, c = 4.5630 Å
α = 90.00°, β = 90.00°, γ = 90.00°
With the nearest neighbours (Å) after each atom.
Positions (direct):
I1 0.0000 0.5000 0.0000  2 Ca 3.04
I2 0.5000 0.0000 0.0000  2 Ca 3.04
Ru1 0.5000 0.5000 0.5000  8 I 3.80
Ca1 0.0000 0.0000 0.0000  2 N 2.28
N1 0.0000 0.0000 0.5000  2 Ca 2.28

Calculated values
- volume (Å³/cell) = 168

=====

Which structure loses on stability? x does.